# 1
The following is a GGA-PBEsol calculation of KMg3 after structural relaxation, from Alexandria via LeMat-Bulk.

DOS(E_F) in states/eV per cell: 1.97
DFT formation energy in eV per atom: 0.199
Crystal system: hexagonal

Cell and atoms, written as CIF:
```
data_KMg3
_chemical_formula_sum 'K1 Mg3'
_symmetry_space_group_name_H-M 'P -6 m 2'
_symmetry_Int_Tables_number 187
_symmetry_space_group_name_Hall 'P -6 2'
_cell_length_a 3.3768
_cell_length_b 3.3768
_cell_length_c 11.5012
_cell_angle_alpha 90.00
_cell_angle_beta 90.00
_cell_angle_gamma 120.00
loop_
_atom_site_label
_atom_site_fract_x
_atom_site_fract_y
_atom_site_fract_z
K1 0.0000 0.0000 0.0000
Mg1 0.0000 0.0000 0.5000
Mg2 0.6667 0.3333 0.2814
```

=====

# 2
The following is a GGA-PBEsol calculation of Li6Al7 after structural relaxation, from Alexandria via LeMat-Bulk.

DOS(E_F) in states/eV per cell: 12.84
DFT formation energy in eV per atom: -0.076
Crystal system: trigonal

Cell and atoms, written as CIF:
```
data_Li6Al7
_chemical_formula_sum 'Li18 Al21'
_symmetry_space_group_name_H-M 'R -3 m'
_symmetry_Int_Tables_number 166
_symmetry_space_group_name_Hall '-R 3 2"'
_cell_length_a 5.3531
_cell_length_b 5.3531
_cell_length_c 27.7412
_cell_angle_alpha 90.00
_cell_angle_beta 90.00
_cell_angle_gamma 120.00
loop_
_atom_site_label
_atom_site_fract_x
_atom_site_fract_y
_atom_site_fract_z
Li1 0.0000 0.0000 0.0496
Li2 0.0000 0.0000 0.1517
Li3 0.0000 0.0000 0.3345
Al1 0.0000 0.0000 0.5000
Al2 0.0029 0.5015 0.9130
```

=====

# 3
The following is a GGA-PBEsol calculation of Sr2Si2P after structural relaxation, from Alexandria via LeMat-Bulk.

DOS(E_F) in states/eV per cell: 4.39
Crystal system: tetragonal

Cell and atoms, written as CIF:
```
data_Sr2Si2P
_chemical_formula_sum 'Sr4 Si4 P2'
_symmetry_space_group_name_H-M 'P 4/m b m'
_symmetry_Int_Tables_number 127
_symmetry_space_group_name_Hall '-P 4 2ab'
_cell_length_a 7.1643
_cell_length_b 7.1643
_cell_length_c 4.5954
_cell_angle_alpha 90.00
_cell_angle_beta 90.00
_cell_angle_gamma 90.00
loop_
_atom_site_label
_atom_site_fract_x
_atom_site_fract_y
_atom_site_fract_z
Sr1 0.1805 0.3195 0.0000
Si1 0.1177 0.6177 0.5000
P1 0.0000 0.0000 0.5000
```

=====

# 4
The following is a GGA-PBEsol calculation of HgH2Rh2 after structural relaxation, from Alexandria via LeMat-Bulk.

DOS(E_F) in states/eV per cell: 7.55
Crystal system: tetragonal

Cell and atoms, written as CIF:
```
data_HgH2Rh2
_chemical_formula_sum 'Hg2 H4 Rh4'
_symmetry_space_group_name_H-M 'I 4/m m m'
_symmetry_Int_Tables_number 139
_symmetry_space_group_name_Hall '-I 4 2'
_cell_length_a 3.1127
_cell_length_b 3.1127
_cell_length_c 10.8158
_cell_angle_alpha 90.00
_cell_angle_beta 90.00
_cell_angle_gamma 90.00
loop_
_atom_site_label
_atom_site_fract_x
_atom_site_fract_y
_atom_site_fract_z
Hg1 0.0000 0.0000 0.0000
H1 0.0000 0.5000 0.2500
Rh1 0.0000 0.0000 0.3404
```

=====

# 5
The following is a GGA-PBEsol calculation of K2PtI5 after structural relaxation, from Alexandria via LeMat-Bulk.

DOS(E_F) in states/eV per cell: 4.45
Crystal system: orthorhombic

Cell and atoms, written as CIF:
```
data_K2PtI5
_chemical_formula_sum 'K8 Pt4 I20'
_symmetry_space_group_name_H-M 'C m c m'
_symmetry_Int_Tables_number 63
_symmetry_space_group_name_Hall '-C 2c 2'
_cell_length_a 12.2678
_cell_length_b 8.9489
_cell_length_c 11.1749
_cell_angle_alpha 90.00
_cell_angle_beta 90.00
_cell_angle_gamma 90.00
loop_
_atom_site_label
_atom_site_fract_x
_atom_site_fract_y
_atom_site_fract_z
K1 0.2139 0.2454 0.2500
Pt1 0.0000 0.5000 0.0000
I1 0.0000 0.2033 0.0320
I2 0.0000 0.4496 0.7500
I3 0.2164 0.5000 0.0000
```

=====

# 6
The following is a GGA-PBEsol calculation of Rb3MnGa after structural relaxation, from Alexandria via LeMat-Bulk.

DOS(E_F) in states/eV per cell: 6.26
DFT formation energy in eV per atom: 0.915
Crystal system: cubic

Cell and atoms, written as CIF:
```
data_Rb3MnGa
_chemical_formula_sum 'Rb3 Mn1 Ga1'
_symmetry_space_group_name_H-M 'P m -3 m'
_symmetry_Int_Tables_number 221
_symmetry_space_group_name_Hall '-P 4 2 3'
_cell_length_a 6.6176
_cell_length_b 6.6176
_cell_length_c 6.6176
_cell_angle_alpha 90.00
_cell_angle_beta 90.00
_cell_angle_gamma 90.00
loop_
_atom_site_label
_atom_site_fract_x
_atom_site_fract_y
_atom_site_fract_z
Rb1 0.0000 0.0000 0.5000
Mn1 0.5000 0.5000 0.5000
Ga1 0.0000 0.0000 0.0000
```

=====

E_tot (computed, eV/atom): -1.37; -3.19; -4.52; -4.70; -3.04; -2.32
Magnetic moment (computed, μB per cell): 0.000; 0.001; 0.000; 0.000; 0.000; 4.814